8
Lattice="-1.577 -1.734 -1.504 1.197 -3.569 2.860 -3.861 1.013 2.880" Properties=species:S:1:pos:R:3 comment="CoC PBE relaxed" total_energy_ev_per_atom=-7.580 e_form_mev_per_atom=585 vol_a3_per_atom=8.1 pbc="T T T"
Co -0.905 -1.837 1.778
Co -0.084 -3.680 3.043
C -1.165 -2.219 -0.089
C -1.862 -3.663 2.308
Co -3.336 -2.453 2.458
C -3.076 -2.072 4.325
C -2.379 -0.627 1.929
Co -4.156 -0.610 1.194